PBEsol MnAuCl2, relaxed; excess energy over the best structure of this formula in the dataset = 0.000 eV/atom; formation energy without anion corrections = -0.37 eV per atom
1.0
-2.5624 2.2978 -0.5749
-2.9806 -0.2238 1.8005
1.0955 5.3370 5.8583
Cl Au Mn
2 1 1
direct
0.9785 0.9785 0.0645 Cl
0.7775 0.7775 0.6676 Cl
0.2404 0.2404 0.2787 Au
0.5036 0.5036 0.4893 Mn